Here is a relaxed K3PrY2O6 crystal from Alexandria via LeMat-Bulk. Energies are from PBE-GGA.

a b c (Å): 6.1569 6.1569 6.6116
angles (deg): 98.92 98.92 120.01
Atoms (fractional coordinates):
K1 0.8315 0.1685 0.5000
K2 0.1685 0.8315 0.5000
K3 0.5000 0.5000 0.5000
Pr1 0.0000 0.0000 0.0000
O1 0.7178 0.7178 0.1883
O2 0.0627 0.4076 0.1878
O3 0.5924 0.9373 0.8122
O4 0.2822 0.2822 0.8117
O5 0.4076 0.0627 0.1878
O6 0.9373 0.5924 0.8122
Y1 0.3333 0.6667 0.0000
Y2 0.6667 0.3333 0.0000

---

Here is a relaxed K2PrZn2O4 crystal from Alexandria via LeMat-Bulk. Energies are from PBE-GGA.

a b c (Å): 3.5050 6.6530 7.5309
angles (deg): 101.82 103.46 90.00
Atoms (fractional coordinates):
Pr1 0.0000 0.0000 0.0000
K1 0.8647 0.4242 0.7293
K2 0.1353 0.5758 0.2707
O1 0.4381 0.1789 0.8763
O2 0.5619 0.8211 0.1237
O3 0.8340 0.8051 0.6680
O4 0.1660 0.1949 0.3320
Zn1 0.3166 0.9565 0.6331
Zn2 0.6834 0.0435 0.3669

---

Here is a relaxed K3Pr2ZrO6 crystal from Alexandria via LeMat-Bulk. Energies are from PBE-GGA.

a b c (Å): 6.1503 6.1503 6.6232
angles (deg): 98.90 98.90 120.03
Atoms (fractional coordinates):
K1 0.1638 0.8362 0.5000
K2 0.8362 0.1638 0.5000
K3 0.5000 0.5000 0.5000
Pr1 0.3331 0.6669 0.0000
Pr2 0.6669 0.3331 0.0000
O1 0.2388 0.2388 0.8116
O2 0.0637 0.3652 0.1891
O3 0.9363 0.6348 0.8109
O4 0.3652 0.0637 0.1891
O5 0.7612 0.7612 0.1884
O6 0.6348 0.9363 0.8109
Zr1 0.0000 0.0000 0.0000

---

Here is a relaxed KPrZr2O6 crystal from Alexandria via LeMat-Bulk. Energies are from PBE-GGA.

a b c (Å): 5.9115 5.9115 5.9115
angles (deg): 60.00 60.00 60.00
Atoms (fractional coordinates):
K1 0.5000 0.5000 0.5000
O1 0.5000 0.0000 0.5000
O2 0.5000 0.0000 0.0000
O3 0.5000 0.5000 0.0000
O4 0.0000 0.5000 0.5000
O5 0.0000 0.5000 0.0000
O6 0.0000 0.0000 0.5000
Zr1 0.2500 0.2500 0.2500
Zr2 0.7500 0.7500 0.7500
Pr1 0.0000 0.0000 0.0000

---

Here is a relaxed K2PtO crystal from Alexandria via LeMat-Bulk. Energies are from PBE-GGA.

a b c (Å): 11.2542 11.2542 8.2016
angles (deg): 46.68 46.68 90.00
Atoms (fractional coordinates):
K1 0.3652 0.6250 0.2500
K2 0.8750 0.6348 0.7500
K3 0.3750 0.6152 0.7500
K4 0.3848 0.1250 0.2500
O1 0.5000 0.5000 0.0000
O2 0.2500 0.7500 0.5000
Pt1 0.0000 0.0000 0.0000
Pt2 0.7500 0.2500 0.5000

---

Here is a relaxed KPtO4 crystal from Alexandria via LeMat-Bulk. Energies are from PBE-GGA.

a b c (Å): 6.1818 7.8420 6.4684
angles (deg): 52.69 103.67 112.95
Atoms (fractional coordinates):
Pt1 0.7500 0.9980 0.0040
Pt2 0.2500 0.0020 0.9960
K1 0.2500 0.6423 0.7154
K2 0.7500 0.3577 0.2846
O1 0.6219 0.7406 0.0031
O2 0.0021 0.8727 0.2492
O3 0.3781 0.2594 0.9969
O4 0.1219 0.7438 0.9969
O5 0.8781 0.2562 0.0031
O6 0.4979 0.8780 0.2492
O7 0.9979 0.1273 0.7508
O8 0.5021 0.1220 0.7508

---

Here is a relaxed K3PtO4 crystal from Alexandria via LeMat-Bulk. Energies are from PBE-GGA.

a b c (Å): 6.3205 6.3205 6.3205
angles (deg): 84.67 131.11 115.81
Atoms (fractional coordinates):
K1 0.5190 0.7599 0.2789
K2 0.0192 0.0000 0.0192
K3 0.5190 0.2401 0.7591
O1 0.3008 0.7823 0.5186
O2 0.0189 0.7062 0.7251
O3 0.7363 0.2177 0.5186
O4 0.0189 0.2938 0.3128
Pt1 0.0188 0.5000 0.5188

---

Here is a relaxed K4PtO5 crystal from Alexandria via LeMat-Bulk. Energies are from PBE-GGA.

a b c (Å): 5.4814 6.4250 6.4250
angles (deg): 79.52 64.75 64.75
Atoms (fractional coordinates):
O1 0.0780 0.7005 0.1566
O2 0.2346 0.8434 0.7005
O3 0.3988 0.0000 0.0000
O4 0.9351 0.2995 0.8434
O5 0.7785 0.1566 0.2995
K1 0.4060 0.3988 0.8085
K2 0.6133 0.6012 0.1915
K3 0.8048 0.8085 0.6012
K4 0.2145 0.1915 0.3988
Pt1 0.0467 0.0000 0.0000

---

Here is a relaxed KPtO crystal from Alexandria via LeMat-Bulk. Energies are from PBE-GGA.

a b c (Å): 5.7270 3.9590 12.4829
angles (deg): 90.00 105.79 90.00
Atoms (fractional coordinates):
Pt1 0.3862 0.5000 0.1877
Pt2 0.2087 0.0000 0.0599
Pt3 0.3862 0.0000 0.6877
Pt4 0.2087 0.5000 0.5599
O1 0.6443 0.5000 0.3185
O2 0.0966 0.5000 0.0425
O3 0.6443 0.0000 0.8185
O4 0.0966 0.0000 0.5425
K1 0.9485 0.0000 0.2827
K2 0.9485 0.5000 0.7827
K3 0.6087 0.0000 0.4648
K4 0.6087 0.5000 0.9648

---

Here is a relaxed KPt2O3 crystal from Alexandria via LeMat-Bulk. Energies are from PBE-GGA.

a b c (Å): 6.3505 6.3505 6.9966
angles (deg): 63.01 63.01 60.00
Atoms (fractional coordinates):
Pt1 0.0000 0.5000 0.0000
Pt2 0.5000 0.5000 0.0000
Pt3 0.5000 0.0000 0.0000
Pt4 0.0000 0.0000 0.0000
O1 0.7786 0.2820 0.1609
O2 0.7786 0.7786 0.1609
O3 0.7180 0.2214 0.8391
O4 0.2820 0.7786 0.1609
O5 0.2214 0.2214 0.8391
O6 0.2214 0.7180 0.8391
K1 0.1775 0.1775 0.4676
K2 0.8225 0.8225 0.5324

---

Here is a relaxed K4PtO4 crystal from Alexandria via LeMat-Bulk. Energies are from PBE-GGA.

a b c (Å): 6.0765 6.0765 7.6254
angles (deg): 113.48 113.48 90.00
Atoms (fractional coordinates):
K1 0.2854 0.2854 0.5708
K2 0.7146 0.7146 0.4292
K3 0.0000 0.5000 0.0000
K4 0.5000 0.0000 0.0000
Pt1 0.0000 0.0000 0.0000
O1 0.0410 0.0410 0.7686
O2 0.2724 0.9590 0.2314
O3 0.7276 0.7276 0.7686
O4 0.9590 0.2724 0.2314

---

Here is a relaxed K8Pt3O8 crystal from Alexandria via LeMat-Bulk. Energies are from PBE-GGA.

a b c (Å): 5.5056 8.1524 10.4519
angles (deg): 108.36 105.27 90.00
Atoms (fractional coordinates):
K1 0.3352 0.5359 0.6703
K2 0.0203 0.2463 0.0406
K3 0.6648 0.4641 0.3297
K4 0.3878 0.0576 0.7756
K5 0.9797 0.7537 0.9594
K6 0.6122 0.9424 0.2244
K7 0.7976 0.1991 0.5952
K8 0.2024 0.8009 0.4048
O1 0.5195 0.2903 0.0391
O2 0.1709 0.4368 0.3418
O3 0.1118 0.9849 0.2236
O4 0.8882 0.0151 0.7764
O5 0.4805 0.7097 0.9609
O6 0.7318 0.8415 0.4635
O7 0.8291 0.5632 0.6582
O8 0.2682 0.1585 0.5365
Pt1 0.8178 0.7864 0.6356
Pt2 0.1822 0.2136 0.3644
Pt3 0.5000 0.5000 0.0000

---

Here is a relaxed KPtO crystal from Alexandria via LeMat-Bulk. Energies are from PBE-GGA.

a b c (Å): 4.1814 4.1814 3.7966
angles (deg): 90.00 90.00 90.00
Atoms (fractional coordinates):
O1 0.5000 0.5000 0.0000
Pt1 0.5000 0.5000 0.5000
K1 0.0000 0.0000 0.0000

---

Here is a relaxed K3Pt2O4 crystal from Alexandria via LeMat-Bulk. Energies are from PBE-GGA.

a b c (Å): 4.3123 7.7768 7.7768
angles (deg): 56.21 73.90 73.90
Atoms (fractional coordinates):
Pt1 0.0000 0.1617 0.8383
Pt2 0.0000 0.8383 0.1617
O1 0.8663 0.8804 0.3870
O2 0.8663 0.3870 0.8804
O3 0.1337 0.1196 0.6130
O4 0.1337 0.6130 0.1196
K1 0.5000 0.5000 0.5000
K2 0.2909 0.2091 0.2091
K3 0.7091 0.7909 0.7909

Calculated values
Excess energy over the best structure of this formula in the dataset, meV per atom: 243

---

Here is a relaxed KPt2O crystal from Alexandria via LeMat-Bulk. Energies are from PBE-GGA.

a b c (Å): 5.4367 5.4367 7.1601
angles (deg): 67.69 67.69 90.00
Atoms (fractional coordinates):
Pt1 0.3750 0.6250 0.7500
Pt2 0.3750 0.6250 0.2500
Pt3 0.8750 0.6250 0.7500
Pt4 0.3750 0.1250 0.2500
O1 0.2500 0.7500 0.5000
O2 0.5000 0.5000 0.0000
K1 0.7500 0.2500 0.5000
K2 0.0000 0.0000 0.0000

---

Here is a relaxed K2Pt3O8 crystal from Alexandria via LeMat-Bulk. Energies are from PBE-GGA.

a b c (Å): 5.3753 6.3313 7.1410
angles (deg): 116.32 106.54 90.00
Atoms (fractional coordinates):
O1 0.9490 0.5889 0.1778
O2 0.3812 0.8642 0.1711
O3 0.8992 0.0834 0.1669
O4 0.0510 0.4111 0.8222
O5 0.6188 0.6931 0.8289
O6 0.1008 0.9166 0.8331
O7 0.6188 0.1358 0.8289
O8 0.3812 0.3069 0.1711
K1 0.3309 0.2742 0.5483
K2 0.6691 0.7258 0.4517
Pt1 0.5000 0.0000 0.0000
Pt2 0.0000 0.2554 0.0000
Pt3 0.0000 0.7446 0.0000

---

Here is a relaxed KPt4O8 crystal from Alexandria via LeMat-Bulk. Energies are from PBE-GGA.

a b c (Å): 6.4039 6.4039 7.3362
angles (deg): 64.12 64.12 60.00
Atoms (fractional coordinates):
O1 0.2185 0.7140 0.8491
O2 0.2860 0.7815 0.1509
O3 0.7815 0.7815 0.1509
O4 0.7815 0.2860 0.1509
O5 0.2185 0.2185 0.8491
O6 0.7163 0.7163 0.8511
O7 0.7140 0.2185 0.8491
O8 0.2837 0.2837 0.1489
Pt1 0.0000 0.0000 0.0000
Pt2 0.0000 0.5000 0.0000
Pt3 0.5000 0.5000 0.0000
Pt4 0.5000 0.0000 0.0000
K1 0.5000 0.5000 0.5000

---

Here is a relaxed K4PtO4 crystal from Alexandria via LeMat-Bulk. Energies are from PBE-GGA.

a b c (Å): 5.3902 8.0313 8.0313
angles (deg): 90.00 90.00 90.00
Atoms (fractional coordinates):
K1 0.2498 0.5449 0.1511
K2 0.2498 0.9551 0.3489
K3 0.7502 0.0449 0.6511
K4 0.2502 0.3489 0.5449
K5 0.7498 0.6511 0.4551
K6 0.2502 0.1511 0.9551
K7 0.7502 0.4551 0.8489
K8 0.7498 0.8489 0.0449
O1 0.2502 0.9846 0.6767
O2 0.7502 0.3233 0.4846
O3 0.2498 0.6767 0.5154
O4 0.2502 0.5154 0.8233
O5 0.2498 0.8233 0.9846
O6 0.7498 0.4846 0.1767
O7 0.7498 0.0154 0.3233
O8 0.7502 0.1767 0.0154
Pt1 0.7500 0.2500 0.2500
Pt2 0.2500 0.7500 0.7500

---

Here is a relaxed K3Pt2O4 crystal from Alexandria via LeMat-Bulk. Energies are from PBE-GGA.

a b c (Å): 5.6175 5.6175 11.8072
angles (deg): 90.00 90.00 113.47
Atoms (fractional coordinates):
O1 0.7106 0.8727 0.3842
O2 0.1273 0.2894 0.1158
O3 0.2894 0.1273 0.6158
O4 0.7106 0.8727 0.1158
O5 0.1273 0.2894 0.3842
O6 0.8727 0.7106 0.6158
O7 0.8727 0.7106 0.8842
O8 0.2894 0.1273 0.8842
K1 0.6488 0.3512 0.4323
K2 0.6488 0.3512 0.0677
K3 0.3512 0.6488 0.9323
K4 0.2894 0.7106 0.2500
K5 0.3512 0.6488 0.5677
K6 0.7106 0.2894 0.7500
Pt1 0.0781 0.9219 0.7500
Pt2 0.0000 0.0000 0.5000
Pt3 0.0000 0.0000 0.0000
Pt4 0.9219 0.0781 0.2500

Calculated values
Excess energy over the best structure of this formula in the dataset, meV per atom: 0

---

Here is a relaxed KPt3O6 crystal from Alexandria via LeMat-Bulk. Energies are from PBE-GGA.

a b c (Å): 3.1867 6.5363 6.5363
angles (deg): 111.17 90.00 90.00
Atoms (fractional coordinates):
Pt1 0.5000 0.5000 0.0000
Pt2 0.0000 0.0000 0.0000
Pt3 0.5000 0.0000 0.5000
O1 0.0000 0.9334 0.6703
O2 0.0000 0.6703 0.9334
O3 0.5000 0.3163 0.6837
O4 0.5000 0.6837 0.3163
O5 0.0000 0.0666 0.3297
O6 0.0000 0.3297 0.0666
K1 0.0000 0.5000 0.5000

---

Number 1: VASP energy -6.9119 eV/atom, V 17.19 A^3/atom, density 4.28 g cm⁻³. Number 2: VASP energy -4.9224 eV/atom, V 18.55 A^3/atom, density 4.12 g cm⁻³. Number 3: VASP energy -6.7500 eV/atom, V 17.19 A^3/atom, density 4.72 g cm⁻³. Number 4: VASP energy -8.2346 eV/atom, V 14.61 A^3/atom, density 5.21 g cm⁻³. Number 5: VASP energy -3.9280 eV/atom, V 31.42 A^3/atom, density 3.82 g cm⁻³. Number 6: VASP energy -4.9724 eV/atom, V 19.14 A^3/atom, density 4.31 g cm⁻³. Number 7: VASP energy -4.6740 eV/atom, V 20.52 A^3/atom, density 3.81 g cm⁻³. Number 8: VASP energy -4.5174 eV/atom, V 18.51 A^3/atom, density 3.87 g cm⁻³. Number 9: VASP energy -4.6896 eV/atom, V 22.69 A^3/atom, density 6.10 g cm⁻³. Number 10: VASP energy -5.3957 eV/atom, V 17.34 A^3/atom, density 7.62 g cm⁻³. Number 11: VASP energy -4.2520 eV/atom, V 25.85 A^3/atom, density 2.97 g cm⁻³. Number 12: VASP energy -4.5360 eV/atom, V 22.51 A^3/atom, density 3.98 g cm⁻³. Number 13: VASP energy -4.7818 eV/atom, V 22.13 A^3/atom, density 6.26 g cm⁻³. Number 14: VASP energy -4.7437 eV/atom, V 22.86 A^3/atom, density 4.61 g cm⁻³. Number 15: VASP energy -4.8245 eV/atom, V 22.32 A^3/atom, density 8.28 g cm⁻³. Number 16: VASP energy -5.4136 eV/atom, V 15.89 A^3/atom, density 6.36 g cm⁻³. Number 17: VASP energy -5.6059 eV/atom, V 17.31 A^3/atom, density 6.99 g cm⁻³. Number 18: VASP energy -4.4996 eV/atom, V 19.32 A^3/atom, density 3.97 g cm⁻³. Number 19: VASP energy -4.9866 eV/atom, V 18.99 A^3/atom, density 5.55 g cm⁻³. Number 20: VASP energy -5.5463 eV/atom, V 12.70 A^3/atom, density 9.42 g cm⁻³.